Entry 1:
The following is a PBE+U calculation of crystalline ZrMn3O at its relaxed geometry, from the Alexandria database.

Calculated values
Its size of the total moment is 10.768 Bohr magnetons per cell. Its energy above the most stable polymorph in this dataset is 0.0 meV per atom.

```
data_ZrMn3O
_symmetry_space_group_name_H-M 'P m -3 m'
_symmetry_Int_Tables_number 221
_symmetry_space_group_name_Hall '-P 4 2 3'
_cell_length_a 4.3779
_cell_length_b 4.3779
_cell_length_c 4.3779
_cell_angle_alpha 90.00
_cell_angle_beta 90.00
_cell_angle_gamma 90.00
loop_
_atom_site_label
_atom_site_type_symbol
_atom_site_fract_x
_atom_site_fract_y
_atom_site_fract_z
Zr1 Zr 0.0000 0.0000 0.0000
Mn1 Mn 0.0000 0.5000 0.5000
O1 O 0.5000 0.5000 0.5000
```

---

Entry 2:
The following is a PBE+U calculation of crystalline K3Cr2InO8 at its relaxed geometry, from the Alexandria database.

Calculated values
Its size of the total moment is 2.000 Bohr magnetons per cell. The calculation puts the raw total energy at -82.41 eV per formula unit.

```
data_K3Cr2InO8
_symmetry_space_group_name_H-M 'P -3 m 1'
_symmetry_Int_Tables_number 164
_symmetry_space_group_name_Hall '-P 3 2"'
_cell_length_a 5.8496
_cell_length_b 5.8496
_cell_length_c 7.6185
_cell_angle_alpha 90.00
_cell_angle_beta 90.00
_cell_angle_gamma 120.00
loop_
_atom_site_label
_atom_site_type_symbol
_atom_site_fract_x
_atom_site_fract_y
_atom_site_fract_z
K1 K 0.0000 0.0000 0.0000
K2 K 0.3333 0.6667 0.6836
Cr1 Cr 0.3333 0.6667 0.2454
In1 In 0.0000 0.0000 0.5000
O1 O 0.1712 0.3424 0.3268
O2 O 0.3333 0.6667 0.0276
```